First-principles (PBE-GGA) data for a relaxed structure of LaRu4Au, as listed in Alexandria via LeMat-Bulk.

Unit cell a=7.550 b=7.550 c=7.550 alpha=90.00 beta=90.00 gamma=90.00
Space group F-43m (No. 216)
Unique sites:
La 0.000 0.000 0.000
Ru 0.124 0.124 0.624
Au 0.250 0.250 0.250

For the total energy, the calculation gives -0.268 hartree per atom. The formation energy is 0.25 eV per atom.